No. 1
An optimized crystal structure of Sr2AcHo, computed with PBE.

Lattice parameters (Å, degrees): 3.842 3.842 14.097 82.17 82.17 60.00
Last column: magnetic moment on the atom in μB.
Fractional coordinates of all 4 atoms:
Sr (0.085, 0.085, 0.746)  0.01
Sr (0.915, 0.915, 0.254)  0.01
Ac (0.500, 0.500, 0.500)  -0.01
Ho (0.000, 0.000, 0.000)  0.30

Results
SG: No. 166

***

No. 2
An optimized crystal structure of Al2FeTc, computed with PBE.

Lattice parameters (Å, degrees): 4.255 4.255 4.255 60.00 60.00 60.00
Last column: magnetic moment on the atom in μB.
Fractional coordinates of all 4 atoms:
Al (0.000, 0.000, 0.000)  0.02
Al (0.250, 0.250, 0.250)  -0.03
Tc (0.750, 0.750, 0.750)  0.45
Fe (0.500, 0.500, 0.500)  2.17

Results
Energy above the lowest structure with this stoichiometry, eV/f.u.: 0.48
SG: No. 216

***

No. 3
An optimized crystal structure of Rb3PrSb2O6, computed with PBE.

Lattice parameters (Å, degrees): 6.341 6.341 7.623 90.00 90.00 120.00
Fractional coordinates of all 12 atoms:
Rb (0.333, 0.667, 0.655)
Rb (0.667, 0.333, 0.345)
Rb (0.000, 0.000, 0.000)
Pr (0.000, 0.000, 0.500)
Sb (0.667, 0.333, 0.809)
Sb (0.333, 0.667, 0.191)
O (0.648, 0.824, 0.313)
O (0.176, 0.352, 0.313)
O (0.176, 0.824, 0.313)
O (0.824, 0.648, 0.687)
O (0.352, 0.176, 0.687)
O (0.824, 0.176, 0.687)

Results
ΔE_f (raw), kcal/mol of atoms: -44.71
SG: No. 164

***

No. 4
An optimized crystal structure of RbZnGe2Os, computed with PBE.

Lattice parameters (Å, degrees): 4.835 4.835 5.069 90.00 90.00 90.00
Fractional coordinates of all 5 atoms:
Ge (0.000, 0.500, 0.000)
Ge (0.500, 0.000, 0.000)
Os (0.000, 0.000, 0.000)
Zn (0.000, 0.000, 0.500)
Rb (0.500, 0.500, 0.500)

Results
SG: No. 123

***

No. 5
An optimized crystal structure of CrCuMo2, computed with PBE.

Lattice parameters (Å, degrees): 4.878 4.878 4.878 140.96 128.68 66.32
Fractional coordinates of all 4 atoms:
Cr (0.750, 0.250, 0.500)
Cu (0.250, 0.750, 0.500)
Mo (0.984, 0.984, 0.000)
Mo (0.516, 0.516, 0.000)

Results
Energy above the lowest structure with this stoichiometry, eV/f.u.: 0.42
SG: No. 71

***

No. 6
An optimized crystal structure of LiW6CCl18, computed with PBE.

Lattice parameters (Å, degrees): 9.337 9.337 17.393 90.00 90.00 120.00
Last column: magnetic moment on the atom in μB.
Fractional coordinates of all 52 atoms:
Li (0.000, 0.000, 0.500)  0.00
Li (0.000, 0.000, 0.000)  0.00
W (0.292, 0.479, 0.334)  0.14
W (0.813, 0.292, 0.834)  0.14
W (0.708, 0.521, 0.834)  0.14
W (0.708, 0.521, 0.666)  0.14
W (0.479, 0.187, 0.834)  0.14
W (0.521, 0.813, 0.334)  0.14
W (0.187, 0.708, 0.166)  0.14
W (0.187, 0.708, 0.334)  0.14
W (0.479, 0.187, 0.666)  0.14
W (0.521, 0.813, 0.166)  0.14
W (0.813, 0.292, 0.666)  0.14
W (0.292, 0.479, 0.166)  0.14
C (0.667, 0.333, 0.750)  0.01
C (0.333, 0.667, 0.250)  0.01
Cl (0.516, 0.617, 0.077)  0.00
Cl (0.762, 0.773, 0.903)  0.00
Cl (0.011, 0.238, 0.597)  0.00
Cl (0.712, 0.778, 0.250)  0.02
Cl (0.516, 0.617, 0.423)  0.00
Cl (0.464, 0.415, 0.250)  0.01
Cl (0.050, 0.464, 0.750)  0.01
Cl (0.484, 0.383, 0.923)  0.00
Cl (0.238, 0.227, 0.097)  0.00
Cl (0.617, 0.101, 0.577)  0.00
Cl (0.536, 0.585, 0.750)  0.01
Cl (0.778, 0.066, 0.750)  0.02
Cl (0.383, 0.899, 0.077)  0.00
Cl (0.101, 0.484, 0.423)  0.00
Cl (0.415, 0.950, 0.750)  0.01
Cl (0.989, 0.762, 0.097)  0.00
Cl (0.227, 0.989, 0.597)  0.00
Cl (0.288, 0.222, 0.750)  0.02
Cl (0.989, 0.762, 0.403)  0.00
Cl (0.222, 0.934, 0.250)  0.02
Cl (0.950, 0.536, 0.250)  0.01
Cl (0.617, 0.101, 0.923)  0.00
Cl (0.899, 0.516, 0.923)  0.00
Cl (0.227, 0.989, 0.903)  0.00
Cl (0.066, 0.288, 0.250)  0.02
Cl (0.484, 0.383, 0.577)  0.00
Cl (0.773, 0.011, 0.403)  0.00
Cl (0.899, 0.516, 0.577)  0.00
Cl (0.585, 0.050, 0.250)  0.01
Cl (0.011, 0.238, 0.903)  0.00
Cl (0.762, 0.773, 0.597)  0.00
Cl (0.773, 0.011, 0.097)  0.00
Cl (0.238, 0.227, 0.403)  0.00
Cl (0.934, 0.712, 0.750)  0.02
Cl (0.101, 0.484, 0.077)  0.00
Cl (0.383, 0.899, 0.423)  0.00

Results
ΔE_f (raw), kcal/mol of atoms: -20.03
SG: No. 176

***

No. 7
An optimized crystal structure of Zr2TeW, computed with PBE.

Lattice parameters (Å, degrees): 4.624 3.510 5.522 71.75 90.00 90.00
Fractional coordinates of all 4 atoms:
Te (0.000, 0.702, 0.460)
W (0.500, 0.547, 0.810)
Zr (0.000, 0.988, 0.905)
Zr (0.500, 0.263, 0.325)

Results
Energy above the lowest structure with this stoichiometry, eV/f.u.: 0.22
ΔE_f (raw), kcal/mol of atoms: -3.21
SG: No. 6

***

No. 8
An optimized crystal structure of SOF3, computed with PBE.

Lattice parameters (Å, degrees): 3.927 3.927 3.927 90.00 90.00 90.00
Last column: magnetic moment on the atom in μB.
Fractional coordinates of all 5 atoms:
S (0.500, 0.500, 0.500)  1.65
O (0.000, 0.000, 0.000)  -0.12
F (0.000, 0.500, 0.000)  0.07
F (0.000, 0.000, 0.500)  0.17
F (0.500, 0.000, 0.000)  0.10

Results
Energy above the lowest structure with this stoichiometry, eV/f.u.: 9.70
ΔE_f (raw), kcal/mol of atoms: 15.68
SG: No. 221

***

No. 9
An optimized crystal structure of K2HgHPt, computed with PBE.

Lattice parameters (Å, degrees): 6.295 6.295 3.466 90.00 90.00 90.00
Fractional coordinates of all 5 atoms:
H (0.000, 0.000, 0.500)
K (0.000, 0.500, 0.000)
K (0.500, 0.000, 0.000)
Hg (0.500, 0.500, 0.500)
Pt (0.000, 0.000, 0.000)

Results
Energy above the lowest structure with this stoichiometry, eV/f.u.: 0.48
SG: No. 123

***

No. 10
An optimized crystal structure of TbSmV, computed with PBE.

Lattice parameters (Å, degrees): 5.371 6.176 6.660 122.73 90.00 115.77
Last column: magnetic moment on the atom in μB.
Fractional coordinates of all 6 atoms:
V (0.659, 0.318, 0.784)  2.23
V (0.260, 0.520, 0.885)  2.23
Sm (0.960, 0.920, 0.336)  -0.06
Sm (0.599, 0.198, 0.222)  -0.01
Tb (0.959, 0.917, 0.833)  -0.04
Tb (0.320, 0.640, 0.446)  0.01

Results
SG: No. 8

***

No. 11
An optimized crystal structure of Pm2Nd5Si4, computed with PBE.

Lattice parameters (Å, degrees): 4.068 7.736 11.036 80.90 100.62 90.00
Last column: magnetic moment on the atom in μB.
Fractional coordinates of all 11 atoms:
Pm (0.171, 0.906, 0.341)  0.05
Pm (0.829, 0.094, 0.659)  0.05
Nd (0.062, 0.585, 0.124)  0.03
Nd (0.938, 0.415, 0.876)  0.03
Nd (0.201, 0.355, 0.403)  0.09
Nd (0.500, 0.000, 0.000)  0.04
Nd (0.799, 0.645, 0.597)  0.09
Si (0.659, 0.642, 0.317)  -0.01
Si (0.933, 0.798, 0.866)  -0.01
Si (0.341, 0.358, 0.683)  -0.01
Si (0.067, 0.202, 0.134)  -0.01

Results
ΔE_f (raw), kcal/mol of atoms: -6.15
SG: No. 12

***

No. 12
An optimized crystal structure of CdSb2As, computed with PBE.

Lattice parameters (Å, degrees): 6.673 6.673 6.673 146.24 140.53 52.89
Fractional coordinates of all 4 atoms:
Sb (0.969, 0.969, 0.000)
Sb (0.708, 0.208, 0.500)
As (0.532, 0.532, 0.000)
Cd (0.291, 0.791, 0.500)

Results
Energy above the lowest structure with this stoichiometry, eV/f.u.: 0.60
ΔE_f (raw), kcal/mol of atoms: 4.42
SG: No. 44

***

No. 13
An optimized crystal structure of InP2PdSe, computed with PBE.

Lattice parameters (Å, degrees): 5.002 5.071 5.002 90.00 90.00 90.00
Fractional coordinates of all 5 atoms:
P (0.000, 0.000, 0.500)
P (0.500, 0.000, 0.000)
Se (0.500, 0.500, 0.500)
Pd (0.000, 0.500, 0.000)
In (0.000, 0.000, 0.000)

Results
ΔE_f (raw), kcal/mol of atoms: 26.96
SG: No. 123

***

No. 14
An optimized crystal structure of LaTa2N3, computed with PBE.

Lattice parameters (Å, degrees): 5.831 6.363 6.363 90.70 90.00 90.00
Fractional coordinates of all 12 atoms:
La (0.250, 0.358, 0.642)
La (0.750, 0.642, 0.358)
Ta (0.000, 0.161, 0.161)
Ta (0.500, 0.161, 0.161)
Ta (0.000, 0.839, 0.839)
Ta (0.500, 0.839, 0.839)
N (0.750, 0.049, 0.951)
N (0.750, 0.275, 0.350)
N (0.250, 0.350, 0.275)
N (0.750, 0.650, 0.725)
N (0.250, 0.725, 0.650)
N (0.250, 0.951, 0.049)

Results
ΔE_f (raw), kcal/mol of atoms: -13.64
SG: No. 63

***

No. 15
An optimized crystal structure of La2Nd2Er7, computed with PBE.

Lattice parameters (Å, degrees): 6.091 8.141 8.141 91.32 73.53 73.53
Fractional coordinates of all 11 atoms:
La (0.500, 0.209, 0.791)
La (0.500, 0.791, 0.209)
Nd (0.814, 0.400, 0.400)
Nd (0.186, 0.600, 0.600)
Er (0.173, 0.064, 0.591)
Er (0.827, 0.409, 0.936)
Er (0.827, 0.936, 0.409)
Er (0.173, 0.591, 0.064)
Er (0.000, 0.000, 0.000)
Er (0.577, 0.763, 0.763)
Er (0.423, 0.237, 0.237)

Results
Energy above the lowest structure with this stoichiometry, eV/f.u.: 0.58
SG: No. 12

***

No. 16
An optimized crystal structure of TbPrYHo, computed with PBE.

Lattice parameters (Å, degrees): 5.728 5.728 5.728 60.00 60.00 60.00
Fractional coordinates of all 4 atoms:
Pr (0.250, 0.250, 0.250)
Y (0.750, 0.750, 0.750)
Tb (0.500, 0.500, 0.500)
Ho (0.000, 0.000, 0.000)

Results
Energy above the lowest structure with this stoichiometry, eV/f.u.: 0.07
SG: No. 216

***

No. 17
An optimized crystal structure of MnAl2Au6, computed with PBE.

Lattice parameters (Å, degrees): 4.686 5.143 7.460 81.97 71.70 62.90
Last column: magnetic moment on the atom in μB.
Fractional coordinates of all 9 atoms:
Mn (0.000, 0.500, 0.500)  3.81
Al (0.332, 0.517, 0.819)  0.00
Al (0.668, 0.483, 0.181)  0.00
Au (0.679, 0.794, 0.848)  -0.01
Au (0.321, 0.206, 0.152)  -0.01
Au (0.006, 0.819, 0.168)  0.00
Au (0.348, 0.819, 0.486)  0.01
Au (0.994, 0.181, 0.832)  0.00
Au (0.652, 0.181, 0.514)  0.01

Results
SG: No. 12

***

No. 18
An optimized crystal structure of K2ZrGe, computed with PBE.

Lattice parameters (Å, degrees): 12.661 12.661 9.325 47.24 47.24 90.00
Last column: magnetic moment on the atom in μB.
Fractional coordinates of all 8 atoms:
Ge (0.500, 0.500, 0.000)  -0.04
Ge (0.250, 0.750, 0.500)  -0.04
K (0.466, 0.125, 0.250)  0.01
K (0.284, 0.625, 0.250)  0.01
K (0.375, 0.534, 0.750)  0.01
K (0.875, 0.716, 0.750)  0.01
Zr (0.000, 0.000, 0.000)  0.86
Zr (0.750, 0.250, 0.500)  0.86

Results
SG: No. 122

***

No. 19
An optimized crystal structure of ErTeO4, computed with PBE.

Lattice parameters (Å, degrees): 5.130 5.465 5.873 90.00 90.00 90.00
Fractional coordinates of all 12 atoms:
Er (0.000, 0.500, 0.193)
Er (0.500, 0.500, 0.693)
Te (0.000, 0.000, 0.842)
Te (0.500, 0.000, 0.342)
O (0.240, 0.844, 0.092)
O (0.199, 0.312, 0.890)
O (0.301, 0.312, 0.390)
O (0.260, 0.844, 0.592)
O (0.699, 0.688, 0.390)
O (0.740, 0.156, 0.592)
O (0.760, 0.156, 0.092)
O (0.801, 0.688, 0.890)

Results
Energy above the lowest structure with this stoichiometry, eV/f.u.: 0.39
ΔE_f (raw), kcal/mol of atoms: -46.94
SG: No. 30

***

No. 20
An optimized crystal structure of Nd6PtPb2, computed with PBE.

Lattice parameters (Å, degrees): 4.018 8.929 8.931 119.99 90.00 90.00
Fractional coordinates of all 9 atoms:
Nd (0.500, 0.598, 0.000)
Nd (0.500, 0.402, 0.402)
Nd (0.500, 0.000, 0.598)
Nd (0.000, 0.244, 0.000)
Nd (0.000, 0.756, 0.756)
Nd (0.000, 0.000, 0.244)
Pt (0.500, 0.000, 0.000)
Pb (0.000, 0.333, 0.667)
Pb (0.000, 0.667, 0.333)

Results
SG: No. 189

***

no.,calculated density (g/cm3),electronic total energy (eV/atom)
1,5.3,-2.6883
2,6.3,-6.7646
3,4.6,-5.7451
4,6.8,-4.4844
5,9.1,-8.5696
6,4.5,-5.5645
7,9.6,-8.4370
8,2.9,-2.2601
9,5.7,-2.4503
10,7.5,-5.7365
11,5.5,-5.2698
12,6.9,-3.2605
13,4.7,-3.2780
14,7.6,-9.5262
15,7.8,-4.5105
16,6.9,-4.9807
17,14.1,-4.2846
18,1.9,-3.2765
19,7.2,-6.6252
20,8.8,-5.2289